[1]
Below is a geometry-optimized LiCrRu2 structure, with properties calculated at the PBEsol level.

## Properties
Calculated volume = 11.9 Å³ per atom
DFT formation energy = 0.135 eV/atom
D(E_F) = 0.923 states/eV per atom
Mass density = 9085 kg/m³
Crystal system = cubic
Polymorph energy (0 for the lowest one) = 0 meV per atom

a = 5.758 Å, b = 5.758 Å, c = 5.758 Å
α = 90.00°, β = 90.00°, γ = 90.00°
Sites, in units of the cell vectors:
Li: 0.000 0.000 0.000
Li: 0.000 0.500 0.500
Li: 0.500 0.000 0.500
Li: 0.500 0.500 0.000
Cr: 0.000 0.000 0.500
Cr: 0.000 0.500 0.000
Cr: 0.500 0.000 0.000
Cr: 0.500 0.500 0.500
Ru: 0.250 0.250 0.250
Ru: 0.250 0.250 0.750
Ru: 0.250 0.750 0.250
Ru: 0.250 0.750 0.750
Ru: 0.750 0.250 0.250
Ru: 0.750 0.250 0.750
Ru: 0.750 0.750 0.250
Ru: 0.750 0.750 0.750

***

[2]
Below is a geometry-optimized Ca3Tl4O9 structure, with properties calculated at the PBEsol level.

## Properties
Calculated volume = 13.9 Å³ per atom
Mass density = 8071 kg/m³
Uncorrected formation energy = -36.46 kcal/mol of atoms
Crystal system = monoclinic

a = 5.812 Å, b = 5.812 Å, c = 12.270 Å
α = 102.34°, β = 102.34°, γ = 33.42°
Sites, in units of the cell vectors:
Ca: 0.000 0.000 0.000
Ca: 0.099 0.099 0.578
Ca: 0.794 0.794 0.162
Tl: 0.315 0.315 0.418
Tl: 0.397 0.397 0.728
Tl: 0.555 0.555 0.288
Tl: 0.698 0.698 0.854
O: 0.046 0.046 0.782
O: 0.191 0.191 0.246
O: 0.356 0.356 0.894
O: 0.431 0.431 0.129
O: 0.453 0.453 0.571
O: 0.643 0.643 0.007
O: 0.678 0.678 0.453
O: 0.740 0.740 0.688
O: 0.930 0.930 0.352

***

Repeat the first record exactly.
Below is a geometry-optimized LiCrRu2 structure, with properties calculated at the PBEsol level.

## Properties
Calculated volume = 11.9 Å³ per atom
DFT formation energy = 0.135 eV/atom
D(E_F) = 0.923 states/eV per atom
Mass density = 9085 kg/m³
Crystal system = cubic
Polymorph energy (0 for the lowest one) = 0 meV per atom

a = 5.758 Å, b = 5.758 Å, c = 5.758 Å
α = 90.00°, β = 90.00°, γ = 90.00°
Sites, in units of the cell vectors:
Li: 0.000 0.000 0.000
Li: 0.000 0.500 0.500
Li: 0.500 0.000 0.500
Li: 0.500 0.500 0.000
Cr: 0.000 0.000 0.500
Cr: 0.000 0.500 0.000
Cr: 0.500 0.000 0.000
Cr: 0.500 0.500 0.500
Ru: 0.250 0.250 0.250
Ru: 0.250 0.250 0.750
Ru: 0.250 0.750 0.250
Ru: 0.250 0.750 0.750
Ru: 0.750 0.250 0.250
Ru: 0.750 0.250 0.750
Ru: 0.750 0.750 0.250
Ru: 0.750 0.750 0.750

***

Q: mass density of number 1 (LiCrRu2)?
A: 9085 kg/m³

***

Q: Look up the calculated volume of the second one.
A: 13.9 Å³ per atom